# PrTe2PbO8 PBE relaxed
# **Formation energy without anion corrections**: -16.06 eV per formula unit
# **Total DFT energy (no corrections)**: -5.87 eV per atom
data_PrTe2PbO8
_chemical_formula_sum 'Pr1 Te2 Pb1 O8'
_cell_length_a 6.1506
_cell_length_b 6.1506
_cell_length_c 7.4142
_cell_angle_alpha 90.00
_cell_angle_beta 90.00
_cell_angle_gamma 120.00
_space_group_name_H-M_alt 'P -3 m 1'
_space_group_IT_number 164
_space_group_name_Hall '-P 3 2"'
loop_
_atom_site_label
_atom_site_fract_x
_atom_site_fract_y
_atom_site_fract_z
_atom_site_occupancy
Pr1 0.0000 0.0000 0.0000 1
Te1 0.3333 0.6667 0.2965 1
Pb1 0.0000 0.0000 0.5000 1
O1 0.1623 0.3245 0.2207 1
O2 0.3333 0.6667 0.5433 1